First-principles (PBE) data for a relaxed BeTe2Rh crystal, as listed in Alexandria. Values from VASP.

Values from the calculation:
The value obtained for the electronic total energy is -17.9 eV per cell. Its space group is Amm2, No. 38.

The structure in Quantum ESPRESSO input format:
```
&SYSTEM
  ibrav = 0, nat = 4, ntyp = 3
/
ATOMIC_SPECIES
Te 127.60 Te.upf
Be 9.01 Be.upf
Rh 102.91 Rh.upf
CELL_PARAMETERS angstrom
4.3887 0.0000 0.0000
0.0000 4.4197 0.0009
0.0000 1.4450 4.1765
ATOMIC_POSITIONS crystal
Te 0.5000 0.3345 0.3344
Te 0.0000 0.9127 0.9128
Be 0.0000 0.5476 0.5477
Rh 0.5000 0.7052 0.7051
```


First-principles (PBE) data for a relaxed BeTe2Rh crystal, as listed in Alexandria. Values from VASP.

Values from the calculation:
The value obtained for the electronic total energy is -16.3 eV per cell. Its space group is C2/m, No. 12.

The structure in Quantum ESPRESSO input format:
```
&SYSTEM
  ibrav = 0, nat = 4, ntyp = 3
/
ATOMIC_SPECIES
Te 127.60 Te.upf
Rh 102.91 Rh.upf
Be 9.01 Be.upf
CELL_PARAMETERS angstrom
-3.3640 -2.1561 -2.6789
-0.9496 -1.6115 4.4320
-4.4705 0.9863 1.4423
ATOMIC_POSITIONS crystal
Te 0.5000 0.5000 0.0000
Te 0.0000 0.0000 0.0000
Rh 0.0000 0.5000 0.5000
Be 0.5000 0.0000 0.5000
```